## Rb2BeFeF6 (PBE with a Hubbard U)

Data for crystalline Rb2BeFeF6 at its relaxed geometry.

Results
- calculated total energy (eV/f.u.) = -48.50
- space-group type = I4/mmm

Cell lengths 5.914, 5.914, 5.759 Å; angles 59.10, 59.10, 90.00 degrees
Positions (direct):
Fe 0.000 0.000 0.000
F 0.695 0.695 0.609
F 0.754 0.754 0.000
F 0.305 0.305 0.391
F 0.246 0.754 0.000
F 0.246 0.246 0.000
F 0.754 0.246 0.000
Be 0.500 0.500 0.000
Rb 0.750 0.250 0.500
Rb 0.250 0.750 0.500